DFT (PBE-GGA) results for crystalline Tb2Nd6SmTh at its relaxed geometry.

Properties
calculated volume	690	Å³/cell
Fermi-level density of states	1.4627	states/eV per atom
ΔH_f (0 K)	3.3	kcal/mol of atoms

```
Tb2Nd6SmTh
1.0
4.666 -7.548 0.000
4.666 7.548 0.000
-1.545 0.000 9.795
Tb Nd Sm Th
4 12 2 2
Cartesian
2.170 0.680 0.476
1.398 -0.680 5.374
6.390 0.680 4.421
5.618 -0.680 9.319
2.471 4.241 1.820
3.162 4.874 5.452
3.854 4.874 9.241
3.183 1.578 3.716
6.089 4.241 3.078
5.378 1.578 1.181
2.411 -1.578 8.614
1.699 -4.241 6.717
4.605 -1.578 6.079
3.934 -4.874 0.554
4.626 -4.874 4.343
5.317 -4.241 7.976
3.508 1.430 7.346
4.280 -1.430 2.449
4.280 7.156 2.449
3.508 -7.156 7.346
```